Here is crystalline Hf2BeHg at its relaxed geometry from Alexandria via LeMat-Bulk. Energies are from PBE.

Calculated values
Energy above the most stable polymorph in this dataset: 0.000 eV/f.u.
Total magnetic moment: 0.0 μB/f.u.
VASP energy: -24.00 eV/f.u.
Energy of formation from the pure elements: -0.0164 eV per atom

CIF file:
```
data_Hf2BeHg
_symmetry_space_group_name_H-M 'P 4/m m m'
_symmetry_Int_Tables_number 123
_symmetry_space_group_name_Hall '-P 4 2'
_cell_length_a 3.070
_cell_length_b 3.070
_cell_length_c 7.732
_cell_angle_alpha 90.00
_cell_angle_beta 90.00
_cell_angle_gamma 90.00
loop_
_atom_site_label
_atom_site_fract_x
_atom_site_fract_y
_atom_site_fract_z
Hf1 0.000 0.000 0.214
Be1 0.500 0.500 0.000
Hg1 0.500 0.500 0.500
```